VASP calculation (GGA-PBEsol) on a relaxed Ni5Se4Br2O12 crystal.

CIF file:
```
data_Ni5Se4Br2O12
_chemical_formula_sum 'Ni5 Se4 Br2 O12'
_symmetry_space_group_name_H-M 'P 1'
_symmetry_Int_Tables_number 1
_symmetry_space_group_name_Hall 'P 1'
_cell_length_a 6.426
_cell_length_b 7.501
_cell_length_c 7.557
_cell_angle_alpha 67.81
_cell_angle_beta 73.73
_cell_angle_gamma 82.00
loop_
_atom_site_label
_atom_site_type_symbol
_atom_site_fract_x
_atom_site_fract_y
_atom_site_fract_z
Ni1 Ni 0.500 0.000 0.000
Ni2 Ni 0.368 0.309 0.584
Ni3 Ni 0.632 0.691 0.416
Ni4 Ni 0.822 0.874 0.648
Ni5 Ni 0.178 0.126 0.352
Se1 Se 0.841 0.308 0.689
Se2 Se 0.159 0.692 0.311
Se3 Se 0.291 0.831 0.776
Se4 Se 0.709 0.169 0.224
Br1 Br 0.691 0.663 0.025
Br2 Br 0.309 0.337 0.975
O1 O 0.084 0.305 0.514
O2 O 0.916 0.695 0.486
O3 O 0.864 0.095 0.393
O4 O 0.136 0.905 0.607
O5 O 0.337 0.046 0.794
O6 O 0.663 0.954 0.206
O7 O 0.456 0.204 0.369
O8 O 0.544 0.796 0.631
O9 O 0.662 0.405 0.537
O10 O 0.338 0.595 0.463
O11 O 0.769 0.069 0.787
O12 O 0.231 0.931 0.213
```

Calculated values
* uncorrected formation energy: -0.64 eV/atom
* total magnetization: 9.93 μB per formula unit
* SG: P-1 (2)
* energy: -5.55 eV/atom
* N(E_F): 0.46 states/eV per cell